DFT (PBE-GGA) results for a relaxed structure of CsNaTl2Rh.

For the energy above the lowest structure with this stoichiometry, the calculation gives 183 meV/atom.

The space group is P4/mmm (No. 123) and the conventional cell measures 5.370, 5.370 and 6.363 Å, with angles of 90.00, 90.00 and 90.00 degrees. The inequivalent atoms are Cs at (0.000, 0.000, 0.000), Na at (0.500, 0.500, 0.000), Tl at (0.000, 0.500, 0.500) and Rh at (0.000, 0.000, 0.500).



DFT (PBE-GGA) results for a relaxed structure of CsNaTl2Rh.

For the energy above the lowest structure with this stoichiometry, the calculation gives 0 meV/atom.

The space group is P4/mmm (No. 123) and the conventional cell measures 5.357, 5.357 and 5.799 Å, with angles of 90.00, 90.00 and 90.00 degrees. The inequivalent atoms are Cs at (0.000, 0.000, 0.000), Na at (0.500, 0.500, 0.000), Tl at (0.000, 0.500, 0.500) and Rh at (0.500, 0.500, 0.500).



DFT (PBE-GGA) results for a relaxed structure of Cs2NaTl6Rh.

The space group is P-3m1 (No. 164) and the conventional cell measures 7.6502, 7.6502 and 7.0948 Å, with angles of 90.00, 90.00 and 120.00 degrees. The inequivalent atoms are Cs at (0.3333, 0.6667, 0.1513), Na at (0.0000, 0.0000, 0.0000), Tl at (0.1898, 0.3796, 0.6662) and Rh at (0.0000, 0.0000, 0.5000).



Number 1: E_form 0.129 eV per atom. Number 2: E_form -0.054 eV per atom. Number 3: E_form -0.006 eV per atom.